Record 1
This record from Alexandria via LeMat-Bulk describes a geometry-optimized BeI2OF structure. The functional is GGA-PBE.

Values from the calculation:
- V: 99 Å³/cell
- Space-group type: P4/mmm (123)
- Magnetic moment: 0.000 Bohr magnetons per cell
- Energy relative to the elements, uncorrected: 0.89 eV/atom
- Total DFT energy (no corrections): -0.135 Ry per atom
- ΔE to the lowest computed polymorph: 1566 meV per atom

Cell and atoms, written as POSCAR:
```
BeI2OF
1.0
-0.041 -3.715 -3.423
5.034 0.254 -0.336
0.322 -2.627 2.846
I Be O F
2 1 1 1
direct
0.000 0.500 0.000
0.500 0.000 0.000
0.500 0.500 0.500
0.000 0.000 0.500
0.000 0.000 0.000
```

Record 2
This record from Alexandria via LeMat-Bulk describes a geometry-optimized CaZr2W structure. The functional is GGA-PBE.

Values from the calculation:
- V: 88 Å³/cell
- Space-group type: I-4m2 (119)
- Formation enthalpy at 0 K: 62 kJ per mole of atoms
- Magnetic moment: 0.000 Bohr magnetons per cell
- Total DFT energy (no corrections): -0.542 Ry per atom
- ΔE to the lowest computed polymorph: 428 meV per atom

Cell and atoms, written as POSCAR:
```
CaZr2W
1.0
-5.649 0.094 0.754
-3.059 -3.075 -3.698
4.558 -0.910 3.299
Zr W Ca
2 1 1
direct
0.250 0.750 0.500
0.000 0.000 0.000
0.750 0.250 0.500
0.500 0.500 0.000
```

Record 3
This record from Alexandria via LeMat-Bulk describes a geometry-optimized BiPb3S structure. The functional is GGA-PBE.

Values from the calculation:
- V: 218 Å³/cell
- Space-group type: Pm-3m (221)
- Magnetic moment: 0.000 Bohr magnetons per cell
- Energy relative to the elements, uncorrected: 0.77 eV/atom
- Total DFT energy (no corrections): -0.225 Ry per atom
- ΔE to the lowest computed polymorph: 721 meV per atom

Cell and atoms, written as POSCAR:
```
BiPb3S
1.0
6.023 0.000 0.000
0.000 6.023 0.000
0.000 0.000 6.023
S Pb Bi
1 3 1
direct
0.500 0.500 0.500
0.000 0.500 0.000
0.500 0.000 0.000
0.000 0.000 0.500
0.000 0.000 0.000
```

Record 4
This record from Alexandria via LeMat-Bulk describes a geometry-optimized SCl3O structure. The functional is GGA-PBE.

Values from the calculation:
- V: 97 Å³/cell
- Space-group type: Pm-3m (221)
- Magnetic moment: 2.961 Bohr magnetons per cell
- Energy relative to the elements, uncorrected: 1.05 eV/atom
- Total DFT energy (no corrections): -0.138 Ry per atom
- ΔE to the lowest computed polymorph: 1493 meV per atom

Cell and atoms, written as POSCAR:
```
SCl3O
1.0
4.598 0.000 0.000
0.000 4.598 0.000
0.000 0.000 4.598
Cl O S
3 1 1
direct
0.000 0.500 0.000
0.000 0.000 0.500
0.500 0.000 0.000
0.000 0.000 0.000
0.500 0.500 0.500
```

Record 5
This record from Alexandria via LeMat-Bulk describes a geometry-optimized CaCeZnRu structure. The functional is GGA-PBE.

Values from the calculation:
- V: 86 Å³/cell
- Space-group type: F-43m (216)
- Formation enthalpy at 0 K: -10 kJ per mole of atoms
- Magnetic moment: 0.001 Bohr magnetons per cell
- Total DFT energy (no corrections): -0.347 Ry per atom

Cell and atoms, written as POSCAR:
```
CaCeZnRu
1.0
4.960 0.000 0.000
2.480 4.295 0.000
2.480 1.432 4.049
Zn Ru Ce Ca
1 1 1 1
direct
0.250 0.250 0.250
0.750 0.750 0.750
0.500 0.500 0.500
0.000 0.000 0.000
```

Record 6
This record from Alexandria via LeMat-Bulk describes a geometry-optimized CePr5N5 structure. The functional is GGA-PBE.

Values from the calculation:
- V: 210 Å³/cell
- Space-group type: C2/m (12)
- Magnetic moment: 0.368 Bohr magnetons per cell
- Energy relative to the elements, uncorrected: -1.20 eV/atom
- Total DFT energy (no corrections): -0.566 Ry per atom

Cell and atoms, written as POSCAR:
```
CePr5N5
1.0
5.204 0.000 0.000
-2.602 5.804 -0.077
0.000 -2.262 6.977
Pr N Ce
5 5 1
direct
0.672 0.343 0.844
0.000 0.000 0.500
0.326 0.652 0.674
0.674 0.348 0.326
0.328 0.657 0.156
0.165 0.330 0.837
0.841 0.683 0.679
0.159 0.317 0.321
0.500 0.000 0.000
0.835 0.670 0.163
0.000 0.000 0.000
```

Record 7
This record from Alexandria via LeMat-Bulk describes a geometry-optimized SeS structure. The functional is GGA-PBE.

Values from the calculation:
- V: 396 Å³/cell
- Space-group type: Pmmn (59)
- Magnetic moment: 0.000 Bohr magnetons per cell
- Energy relative to the elements, uncorrected: 0.17 eV/atom
- Total DFT energy (no corrections): -0.267 Ry per atom
- ΔE to the lowest computed polymorph: 127 meV per atom

Cell and atoms, written as POSCAR:
```
SeS
1.0
-1.380 3.817 2.970
-5.759 -0.019 -2.653
-3.918 -8.078 8.561
S Se
6 6
direct
0.500 0.892 0.858
0.000 0.108 0.642
0.500 0.892 0.142
0.500 0.417 0.500
0.000 0.583 0.000
0.000 0.108 0.358
0.000 0.899 0.500
0.500 0.218 0.646
0.500 0.218 0.354
0.500 0.101 0.000
0.000 0.782 0.146
0.000 0.782 0.854
```

Record 8
This record from Alexandria via LeMat-Bulk describes a geometry-optimized Cs3AsBr2F6 structure. The functional is GGA-PBE.

Values from the calculation:
- V: 398 Å³/cell
- Space-group type: C2/m (12)
- Magnetic moment: 0.000 Bohr magnetons per cell
- Energy relative to the elements, uncorrected: -2.18 eV/atom
- Total DFT energy (no corrections): -0.294 Ry per atom

Cell and atoms, written as POSCAR:
```
Cs3AsBr2F6
1.0
-5.442 0.738 -0.262
-0.898 -7.713 -3.073
-0.154 0.715 9.599
F Cs As Br
6 3 1 2
direct
0.552 0.899 0.797
0.448 0.101 0.203
0.277 0.138 0.973
0.723 0.862 0.027
0.277 0.835 0.973
0.723 0.165 0.027
0.000 0.500 0.000
0.500 0.500 0.500
0.500 0.000 0.500
0.500 0.000 0.000
0.003 0.302 0.604
0.997 0.698 0.396
```

Record 9
This record from Alexandria via LeMat-Bulk describes a geometry-optimized CrAg3Te structure. The functional is GGA-PBE.

Values from the calculation:
- V: 150 Å³/cell
- Space-group type: Pm-3m (221)
- Magnetic moment: 5.152 Bohr magnetons per cell
- Energy relative to the elements, uncorrected: 0.90 eV/atom
- Total DFT energy (no corrections): -0.247 Ry per atom
- ΔE to the lowest computed polymorph: 0 meV per atom

Cell and atoms, written as POSCAR:
```
CrAg3Te
1.0
5.317 0.000 0.000
0.000 5.317 0.000
0.000 0.000 5.317
Te Ag Cr
1 3 1
direct
0.000 0.000 0.000
0.000 0.000 0.500
0.000 0.500 0.000
0.500 0.000 0.000
0.500 0.500 0.500
```

Record 10
This record from Alexandria via LeMat-Bulk describes a geometry-optimized LiTcP structure. The functional is GGA-PBE.

Values from the calculation:
- V: 42 Å³/cell
- Space-group type: F-43m (216)
- Formation enthalpy at 0 K: -38 kJ per mole of atoms
- Magnetic moment: 0.000 Bohr magnetons per cell
- Total DFT energy (no corrections): -0.462 Ry per atom
- ΔE to the lowest computed polymorph: 146 meV per atom

Cell and atoms, written as POSCAR:
```
LiTcP
1.0
3.895 0.000 0.000
1.948 3.374 0.000
1.948 1.125 3.181
Li P Tc
1 1 1
direct
0.500 0.500 0.500
0.750 0.750 0.750
0.000 0.000 0.000
```

Record 11
This record from Alexandria via LeMat-Bulk describes a geometry-optimized Hf2HgSb structure. The functional is GGA-PBE.

Values from the calculation:
- V: 87 Å³/cell
- Space-group type: Fm-3m (225)
- Magnetic moment: 0.000 Bohr magnetons per cell
- Energy relative to the elements, uncorrected: -0.08 eV/atom
- Total DFT energy (no corrections): -0.453 Ry per atom
- ΔE to the lowest computed polymorph: 68 meV per atom

Cell and atoms, written as POSCAR:
```
Hf2HgSb
1.0
3.978 -1.836 2.358
-0.556 -3.619 3.368
1.586 -4.606 -1.012
Sb Hg Hf
1 1 2
direct
0.000 0.000 0.000
0.500 0.500 0.500
0.750 0.750 0.750
0.250 0.250 0.250
```

Record 12
This record from Alexandria via LeMat-Bulk describes a geometry-optimized Ca2Zn2Hg structure. The functional is GGA-PBE.

Values from the calculation:
- V: 246 Å³/cell
- Space-group type: P4/mbm (127)
- Formation enthalpy at 0 K: -29 kJ per mole of atoms
- Magnetic moment: 0.000 Bohr magnetons per cell
- Total DFT energy (no corrections): -0.123 Ry per atom
- ΔE to the lowest computed polymorph: 33 meV per atom

Cell and atoms, written as POSCAR:
```
Ca2Zn2Hg
1.0
-6.192 1.541 4.303
4.282 -0.578 6.369
0.863 4.057 -0.212
Zn Hg Ca
4 2 4
direct
0.617 0.117 0.000
0.383 0.883 0.000
0.117 0.383 0.000
0.883 0.617 0.000
0.000 0.000 0.000
0.500 0.500 0.000
0.320 0.180 0.500
0.820 0.320 0.500
0.180 0.680 0.500
0.680 0.820 0.500
```

Record 13
This record from Alexandria via LeMat-Bulk describes a geometry-optimized RhC3 structure. The functional is GGA-PBE.

Values from the calculation:
- V: 63 Å³/cell
- Space-group type: Pm-3m (221)
- Formation enthalpy at 0 K: 292 kJ per mole of atoms
- Magnetic moment: 2.894 Bohr magnetons per cell
- Total DFT energy (no corrections): -0.421 Ry per atom
- ΔE to the lowest computed polymorph: 2458 meV per atom

Cell and atoms, written as POSCAR:
```
RhC3
1.0
-1.922 -3.118 -1.577
2.128 0.384 -3.351
2.772 -2.457 1.479
C Rh
3 1
direct
0.000 0.000 0.500
0.000 0.500 0.000
0.500 0.000 0.000
0.000 0.000 0.000
```

Record 14
This record from Alexandria via LeMat-Bulk describes a geometry-optimized RbGa2Bi2 structure. The functional is GGA-PBE.

Values from the calculation:
- V: 342 Å³/cell
- Space-group type: P-1 (2)
- Formation enthalpy at 0 K: -12 kJ per mole of atoms
- Magnetic moment: 0.000 Bohr magnetons per cell
- Total DFT energy (no corrections): -0.226 Ry per atom
- ΔE to the lowest computed polymorph: 69 meV per atom

Cell and atoms, written as POSCAR:
```
RbGa2Bi2
1.0
9.336 0.020 0.083
4.674 6.137 0.565
4.665 0.539 6.071
Ga Bi Rb
4 4 2
direct
0.504 0.729 0.987
0.496 0.271 0.013
0.779 0.228 0.491
0.221 0.772 0.509
0.193 0.151 0.147
0.494 0.351 0.348
0.506 0.649 0.652
0.807 0.849 0.853
0.970 0.751 0.251
0.030 0.249 0.749
```

Record 15
This record from Alexandria via LeMat-Bulk describes a geometry-optimized Na4HgSb3Te8 structure. The functional is GGA-PBE.

Values from the calculation:
- V: 511 Å³/cell
- Space-group type: C2/m (12)
- Magnetic moment: 0.000 Bohr magnetons per cell
- Energy relative to the elements, uncorrected: -0.40 eV/atom
- Total DFT energy (no corrections): -0.227 Ry per atom

Cell and atoms, written as POSCAR:
```
Na4HgSb3Te8
1.0
-3.596 -3.045 7.320
5.220 -7.593 -0.594
3.978 7.803 0.024
Te Hg Na Sb
8 1 4 3
direct
0.745 0.727 0.986
0.240 0.727 0.986
0.751 0.266 0.503
0.760 0.273 0.014
0.257 0.269 0.514
0.249 0.734 0.497
0.255 0.273 0.014
0.743 0.731 0.486
0.000 0.500 0.000
0.500 0.000 0.500
0.000 0.000 0.000
0.000 0.000 0.500
0.500 0.000 0.000
0.500 0.500 0.500
0.500 0.500 0.000
0.000 0.500 0.500
```

Record 16
This record from Alexandria via LeMat-Bulk describes a geometry-optimized TbPm5Ho12 structure. The functional is GGA-PBE.

Values from the calculation:
- V: 576 Å³/cell
- Space-group type: P-1 (2)
- Formation enthalpy at 0 K: 9 kJ per mole of atoms
- Magnetic moment: 0.000 Bohr magnetons per cell
- Total DFT energy (no corrections): -0.333 Ry per atom

Cell and atoms, written as POSCAR:
```
TbPm5Ho12
1.0
-4.235 5.437 9.509
3.623 -1.356 9.653
3.710 4.281 -0.796
Pm Ho Tb
5 12 1
direct
0.500 0.000 0.500
0.138 0.724 0.500
0.862 0.276 0.500
0.361 0.279 0.000
0.639 0.721 0.000
0.475 0.358 0.500
0.802 0.000 0.498
0.525 0.642 0.500
0.024 0.643 0.000
0.833 0.642 0.500
0.333 0.643 0.000
0.198 0.000 0.502
0.700 0.000 0.998
0.976 0.357 0.000
0.667 0.357 0.000
0.300 0.000 0.002
0.167 0.358 0.500
0.000 0.000 0.000
```

Record 17
This record from Alexandria via LeMat-Bulk describes a geometry-optimized Ho3MgSc3 structure. The functional is GGA-PBE.

Values from the calculation:
- V: 401 Å³/cell
- Space-group type: R-3 (148)
- Formation enthalpy at 0 K: 10 kJ per mole of atoms
- Magnetic moment: 0.000 Bohr magnetons per cell
- Total DFT energy (no corrections): -0.353 Ry per atom
- ΔE to the lowest computed polymorph: 82 meV per atom

Cell and atoms, written as POSCAR:
```
Ho3MgSc3
1.0
5.607 0.000 1.802
2.514 5.012 1.802
-1.310 -0.808 13.700
Ho Sc Mg
6 6 2
direct
0.267 0.597 0.205
0.403 0.068 0.795
0.597 0.932 0.205
0.733 0.403 0.795
0.932 0.267 0.205
0.068 0.733 0.795
0.865 0.532 0.405
0.532 0.197 0.405
0.803 0.135 0.595
0.135 0.468 0.595
0.197 0.865 0.405
0.468 0.803 0.595
0.667 0.667 0.000
0.333 0.333 0.000
```

Record 18
This record from Alexandria via LeMat-Bulk describes a geometry-optimized TbNd5SmEr2 structure. The functional is GGA-PBE.

Values from the calculation:
- V: 621 Å³/cell
- Space-group type: Cmc2_1 (36)
- Formation enthalpy at 0 K: 14 kJ per mole of atoms
- Magnetic moment: 0.024 Bohr magnetons per cell
- Total DFT energy (no corrections): -0.335 Ry per atom

Cell and atoms, written as POSCAR:
```
TbNd5SmEr2
1.0
5.670 0.000 0.000
-2.835 10.211 0.000
0.000 0.000 10.730
Sm Tb Nd Er
2 2 10 4
direct
0.200 0.400 0.010
0.800 0.600 0.510
0.411 0.821 0.457
0.589 0.179 0.957
0.520 0.040 0.243
0.703 0.407 0.204
0.281 0.562 0.310
0.984 0.967 0.521
0.390 0.779 0.025
0.480 0.960 0.743
0.016 0.033 0.021
0.719 0.438 0.810
0.610 0.221 0.525
0.297 0.593 0.704
0.884 0.768 0.816
0.111 0.222 0.738
0.116 0.232 0.316
0.889 0.778 0.238
```

Record 19
This record from Alexandria via LeMat-Bulk describes a geometry-optimized Sr3Zn2Ga3 structure. The functional is GGA-PBE.

Values from the calculation:
- V: 415 Å³/cell
- Space-group type: Cmcm (63)
- Formation enthalpy at 0 K: -36 kJ per mole of atoms
- Magnetic moment: 0.000 Bohr magnetons per cell
- Total DFT energy (no corrections): -0.180 Ry per atom

Cell and atoms, written as POSCAR:
```
Sr3Zn2Ga3
1.0
4.683 0.000 0.000
-2.342 5.615 0.000
0.000 0.000 15.789
Ga Sr Zn
6 6 4
direct
0.607 0.214 0.461
0.692 0.385 0.750
0.607 0.214 0.039
0.393 0.786 0.539
0.393 0.786 0.961
0.308 0.615 0.250
0.396 0.792 0.750
0.107 0.215 0.895
0.107 0.215 0.605
0.893 0.785 0.105
0.604 0.208 0.250
0.893 0.785 0.395
0.191 0.382 0.401
0.191 0.382 0.099
0.809 0.618 0.901
0.809 0.618 0.599
```

Record 20
This record from Alexandria via LeMat-Bulk describes a geometry-optimized PmScSn structure. The functional is GGA-PBE.

Values from the calculation:
- V: 84 Å³/cell
- Space-group type: P3m1 (156)
- Formation enthalpy at 0 K: -43 kJ per mole of atoms
- Magnetic moment: 0.000 Bohr magnetons per cell
- Total DFT energy (no corrections): -0.402 Ry per atom
- ΔE to the lowest computed polymorph: 184 meV per atom

Cell and atoms, written as POSCAR:
```
PmScSn
1.0
-0.468 -0.875 -3.884
1.898 -4.478 0.780
-4.854 0.725 0.422
Sn Pm Sc
1 1 1
direct
0.835 0.667 0.333
0.333 0.333 0.667
0.832 0.000 0.000
```